A.
DFT (PBE) results for an optimized crystal structure of LiAgRu3.

The density of states at the Fermi level comes out at 7.125 states/eV/f.u.

The space group is Pm-3m (No. 221) and the conventional cell measures 4.897, 4.897 and 4.897 Å, with angles of 90.00, 90.00 and 90.00 degrees. Symmetry generates all atoms from Li at (0.000, 0.000, 0.000), Ag at (0.500, 0.500, 0.500) and Ru at (0.000, 0.500, 0.500).

=====

B.
DFT (PBE) results for an optimized crystal structure of LiAgRu3.

The density of states at the Fermi level comes out at 7.211 states/eV/f.u.

The space group is Pm-3m (No. 221) and the conventional cell measures 4.166, 4.166 and 4.166 Å, with angles of 90.00, 90.00 and 90.00 degrees. Symmetry generates all atoms from Li at (0.000, 0.000, 0.000), Ag at (0.500, 0.500, 0.500) and Ru at (0.000, 0.000, 0.500).

=====

Relative energy table, unit meV per atom: A 950; B 0

=====

A.
DFT (PBE) results for an optimized crystal structure of LiAg2S2.

The density of states at the Fermi level comes out at 2.855 states/eV/f.u.

The space group is P4/mbm (No. 127) and the conventional cell measures 7.086, 7.086 and 3.593 Å, with angles of 90.00, 90.00 and 90.00 degrees. Symmetry generates all atoms from Li at (0.000, 0.000, 0.000), Ag at (0.140, 0.360, 0.500) and S at (0.174, 0.674, 0.000).

=====

B.
DFT (PBE) results for an optimized crystal structure of LiAg2S2.

The density of states at the Fermi level comes out at 2.685 states/eV/f.u.

The space group is P2_1/c (No. 14) and the conventional cell measures 8.763, 7.336 and 6.565 Å, with angles of 90.00, 99.97 and 90.00 degrees. Symmetry generates all atoms from Li at (0.151, 0.078, 0.397), Ag at (0.123, 0.649, 0.492), Ag at (0.431, 0.717, 0.417), S at (0.056, 0.142, 0.732) and S at (0.367, 0.517, 0.697).

=====

Relative energy table, unit meV per atom: A 70; B 0